[1]
First-principles (PBE) data for a relaxed Sm8Ho3Sc2 crystal, as listed in the Alexandria database.

energy relative to the elements: 0.22 eV per atom
crystal system: monoclinic

```
data_Sm8Ho3Sc2
_cell_length_a 14.957
_cell_length_b 9.167
_cell_length_c 6.732
_cell_angle_alpha 90.00
_cell_angle_beta 109.17
_cell_angle_gamma 90.00
_space_group_name_H-M_alt 'C 1 2/m 1'
_space_group_IT_number 12
_space_group_name_Hall '-C 2y'
loop_
_atom_site_label
_atom_site_fract_x
_atom_site_fract_y
_atom_site_fract_z
_atom_site_occupancy
Sm1 0.096 0.000 0.215 1
Sm2 0.122 0.181 0.695 1
Sm3 0.189 0.500 0.391 1
Ho1 0.000 0.331 0.000 1
Ho2 0.000 0.500 0.500 1
Sc1 0.196 0.500 0.919 1
```

[2]
First-principles (PBE) data for a relaxed LiMg2AgCl6 crystal, as listed in the Alexandria database.

formation energy without anion corrections: -1.513 eV per atom
crystal system: monoclinic

```
data_LiMg2AgCl6
_cell_length_a 13.477
_cell_length_b 12.875
_cell_length_c 6.985
_cell_angle_alpha 90.00
_cell_angle_beta 113.34
_cell_angle_gamma 90.00
_space_group_name_H-M_alt 'C 1 2/c 1'
_space_group_IT_number 15
_space_group_name_Hall '-C 2yc'
loop_
_atom_site_label
_atom_site_fract_x
_atom_site_fract_y
_atom_site_fract_z
_atom_site_occupancy
Li1 0.000 0.190 0.250 1
Mg1 0.195 0.415 0.736 1
Ag1 0.000 0.157 0.750 1
Cl1 0.115 0.086 0.127 1
Cl2 0.122 0.255 0.583 1
Cl3 0.135 0.440 0.011 1
```

[3]
First-principles (PBE) data for a relaxed K2NpH4 crystal, as listed in the Alexandria database.

calculated total energy: -4.01 eV per atom
crystal system: tetragonal

```
data_K2NpH4
_cell_length_a 4.371
_cell_length_b 4.371
_cell_length_c 14.614
_cell_angle_alpha 90.00
_cell_angle_beta 90.00
_cell_angle_gamma 90.00
_space_group_name_H-M_alt 'I 4/m m m'
_space_group_IT_number 139
_space_group_name_Hall '-I 4 2'
loop_
_atom_site_label
_atom_site_fract_x
_atom_site_fract_y
_atom_site_fract_z
_atom_site_occupancy
K1 0.000 0.000 0.159 1
Np1 0.000 0.000 0.500 1
H1 0.000 0.000 0.343 1
H2 0.000 0.500 0.000 1
```

[4]
First-principles (PBE) data for a relaxed BaCuAs2S4 crystal, as listed in the Alexandria database.

formation energy without anion corrections: -0.495 eV per atom
crystal system: orthorhombic

```
data_BaCuAs2S4
_cell_length_a 9.196
_cell_length_b 9.689
_cell_length_c 8.196
_cell_angle_alpha 90.00
_cell_angle_beta 90.00
_cell_angle_gamma 90.00
_space_group_name_H-M_alt 'F m m 2'
_space_group_IT_number 42
_space_group_name_Hall 'F 2 -2'
loop_
_atom_site_label
_atom_site_fract_x
_atom_site_fract_y
_atom_site_fract_z
_atom_site_occupancy
Ba1 0.000 0.000 0.000 1
Cu1 0.000 0.000 0.498 1
As1 0.250 0.250 0.267 1
S1 0.000 0.200 0.657 1
S2 0.199 0.000 0.326 1
```

[5]
First-principles (PBE) data for a relaxed Rb2Tl3In4Hg crystal, as listed in the Alexandria database.

energy relative to the elements: -0.08 eV per atom
crystal system: tetragonal

```
data_Rb2Tl3In4Hg
_cell_length_a 5.217
_cell_length_b 5.217
_cell_length_c 12.630
_cell_angle_alpha 90.00
_cell_angle_beta 90.00
_cell_angle_gamma 90.00
_space_group_name_H-M_alt 'P -4 m 2'
_space_group_IT_number 115
_space_group_name_Hall 'P -4 -2'
loop_
_atom_site_label
_atom_site_fract_x
_atom_site_fract_y
_atom_site_fract_z
_atom_site_occupancy
Rb1 0.000 0.500 0.246 1
Tl1 0.000 0.000 0.000 1
Tl2 0.000 0.500 0.636 1
In1 0.000 0.000 0.500 1
In2 0.000 0.500 0.876 1
In3 0.500 0.500 0.500 1
Hg1 0.500 0.500 0.000 1
```

[6]
First-principles (PBE) data for a relaxed TlPt2W crystal, as listed in the Alexandria database.

energy relative to the elements: 0.37 eV per atom
crystal system: tetragonal
relative energy among the computed polymorphs: 9.60 kcal/mol of atoms

```
data_TlPt2W
_cell_length_a 4.094
_cell_length_b 4.094
_cell_length_c 8.216
_cell_angle_alpha 90.00
_cell_angle_beta 90.00
_cell_angle_gamma 90.00
_space_group_name_H-M_alt 'I 4/m m m'
_space_group_IT_number 139
_space_group_name_Hall '-I 4 2'
loop_
_atom_site_label
_atom_site_fract_x
_atom_site_fract_y
_atom_site_fract_z
_atom_site_occupancy
Tl1 0.000 0.000 0.000 1
Pt1 0.000 0.500 0.250 1
W1 0.000 0.000 0.500 1
```

no.,magnetic moment (μB per atom)
1,0.0000
2,0.0000
3,0.7137
4,0.0000
5,0.0000
6,0.0001